Model P:
# PBE-GGA LaTb6Mg, relaxed
# Total magnetic moment ... 3.60 Bohr magnetons per cell
data_LaTb6Mg
_chemical_formula_sum 'La2 Tb12 Mg2'
_space_group_name_H-M_alt 'C 1 2/m 1'
_space_group_IT_number 12
_cell_length_a 6.957
_cell_length_b 12.394
_cell_length_c 6.871
_cell_angle_alpha 90.00
_cell_angle_beta 119.18
_cell_angle_gamma 90.00
loop_
_space_group_symop_operation_xyz
'x,y,z'
'-x,-y,-z'
'-x,y,-z'
'x,-y,z'
'x+1/2,y+1/2,z'
'-x+1/2,-y+1/2,-z'
'-x+1/2,y+1/2,-z'
'x+1/2,-y+1/2,z'
loop_
_atom_site_label
_atom_site_type_symbol
_atom_site_fract_x
_atom_site_fract_y
_atom_site_fract_z
La1 La 0.000 0.000 0.000
Tb1 Tb 0.011 0.225 0.748
Tb2 Tb 0.012 0.500 0.256
Mg1 Mg 0.000 0.000 0.500

=====

Model Q:
# PBE-GGA LaTb6Mg, relaxed
# Total magnetic moment ... 0.00 Bohr magnetons per cell
data_LaTb6Mg
_chemical_formula_sum 'La2 Tb12 Mg2'
_space_group_name_H-M_alt 'C 1 2/m 1'
_space_group_IT_number 12
_cell_length_a 11.209
_cell_length_b 5.054
_cell_length_c 9.922
_cell_angle_alpha 90.00
_cell_angle_beta 116.16
_cell_angle_gamma 90.00
loop_
_space_group_symop_operation_xyz
'x,y,z'
'-x,-y,-z'
'-x,y,-z'
'x,-y,z'
'x+1/2,y+1/2,z'
'-x+1/2,-y+1/2,-z'
'-x+1/2,y+1/2,-z'
'x+1/2,-y+1/2,z'
loop_
_atom_site_label
_atom_site_type_symbol
_atom_site_fract_x
_atom_site_fract_y
_atom_site_fract_z
La1 La 0.000 0.000 0.000
Tb1 Tb 0.004 0.500 0.747
Tb2 Tb 0.244 0.000 0.378
Tb3 Tb 0.249 0.000 0.869
Mg1 Mg 0.000 0.000 0.500

=====

Stability ranking, top and bottom: model Q is the most stable and model P is the least stable.

=====

Model P:
# PBE-GGA LaTbYMg, relaxed
# Total magnetic moment ... 0.02 Bohr magnetons per cell
data_LaTbYMg
_chemical_formula_sum 'La4 Tb4 Y4 Mg4'
_space_group_name_H-M_alt 'F -4 3 m'
_space_group_IT_number 216
_space_group_name_Hall 'F -4 2 3'
_cell_length_a 7.951
_cell_length_b 7.951
_cell_length_c 7.951
_cell_angle_alpha 90.00
_cell_angle_beta 90.00
_cell_angle_gamma 90.00
loop_
_atom_site_label
_atom_site_type_symbol
_atom_site_fract_x
_atom_site_fract_y
_atom_site_fract_z
La1 La 0.000 0.000 0.000
Tb1 Tb 0.250 0.250 0.250
Y1 Y 0.000 0.000 0.500
Mg1 Mg 0.250 0.250 0.750

=====

Model Q:
# PBE-GGA LaTbYMg, relaxed
# Total magnetic moment ... 0.00 Bohr magnetons per cell
data_LaTbYMg
_chemical_formula_sum 'La1 Tb1 Y1 Mg1'
_space_group_name_H-M_alt 'P 4 m m'
_space_group_IT_number 99
_cell_length_a 3.751
_cell_length_b 3.751
_cell_length_c 8.860
_cell_angle_alpha 90.00
_cell_angle_beta 90.00
_cell_angle_gamma 90.00
loop_
_space_group_symop_operation_xyz
'x,y,z'
'-y,x,z'
'-x,-y,z'
'y,-x,z'
'-x,y,z'
'y,x,z'
'x,-y,z'
'-y,-x,z'
loop_
_atom_site_label
_atom_site_type_symbol
_atom_site_fract_x
_atom_site_fract_y
_atom_site_fract_z
La1 La 0.000 0.000 0.000
Tb1 Tb 0.500 0.500 0.281
Y1 Y 0.500 0.500 0.716
Mg1 Mg 0.000 0.000 0.499

=====

Stability ranking, top and bottom: model Q is the most stable and model P is the least stable.

=====

Model P:
# PBE-GGA LaMg2Tc, relaxed
# Total magnetic moment ... 0.00 Bohr magnetons per cell
data_LaMg2Tc
_chemical_formula_sum 'La2 Mg4 Tc2'
_space_group_name_H-M_alt 'C m m 2'
_space_group_IT_number 35
_cell_length_a 3.519
_cell_length_b 5.174
_cell_length_c 9.921
_cell_angle_alpha 90.00
_cell_angle_beta 90.00
_cell_angle_gamma 90.00
loop_
_space_group_symop_operation_xyz
'x,y,z'
'-x,-y,z'
'-x,y,z'
'x,-y,z'
'x+1/2,y+1/2,z'
'-x+1/2,-y+1/2,z'
'-x+1/2,y+1/2,z'
'x+1/2,-y+1/2,z'
loop_
_atom_site_label
_atom_site_type_symbol
_atom_site_fract_x
_atom_site_fract_y
_atom_site_fract_z
La1 La 0.000 0.000 0.000
Mg1 Mg 0.000 0.000 0.424
Mg2 Mg 0.000 0.500 0.688
Tc1 Tc 0.000 0.500 0.217

=====

Model Q:
# PBE-GGA LaMg2Tc, relaxed
# Total magnetic moment ... 0.00 Bohr magnetons per cell
data_LaMg2Tc
_chemical_formula_sum 'La1 Mg2 Tc1'
_space_group_name_H-M_alt 'P 1 2/m 1'
_space_group_IT_number 10
_cell_length_a 3.155
_cell_length_b 5.094
_cell_length_c 5.568
_cell_angle_alpha 90.00
_cell_angle_beta 104.77
_cell_angle_gamma 90.00
loop_
_space_group_symop_operation_xyz
'x,y,z'
'-x,-y,-z'
'-x,y,-z'
'x,-y,z'
loop_
_atom_site_label
_atom_site_type_symbol
_atom_site_fract_x
_atom_site_fract_y
_atom_site_fract_z
La1 La 0.000 0.000 0.000
Mg1 Mg 0.371 0.500 0.716
Tc1 Tc 0.000 0.000 0.500

=====

Stability ranking, top and bottom: model Q is the most stable and model P is the least stable.

=====

Model P:
# PBE-GGA LaMg2Tc, relaxed
# Total magnetic moment ... 0.00 Bohr magnetons per cell
data_LaMg2Tc
_chemical_formula_sum 'La4 Mg8 Tc4'
_space_group_name_H-M_alt 'F m -3 m'
_space_group_IT_number 225
_space_group_name_Hall '-F 4 2 3'
_cell_length_a 7.027
_cell_length_b 7.027
_cell_length_c 7.027
_cell_angle_alpha 90.00
_cell_angle_beta 90.00
_cell_angle_gamma 90.00
loop_
_atom_site_label
_atom_site_type_symbol
_atom_site_fract_x
_atom_site_fract_y
_atom_site_fract_z
La1 La 0.000 0.000 0.000
Mg1 Mg 0.250 0.250 0.250
Tc1 Tc 0.000 0.000 0.500

=====

Model Q:
# PBE-GGA LaMg2Tc, relaxed
# Total magnetic moment ... 0.00 Bohr magnetons per cell
data_LaMg2Tc
_chemical_formula_sum 'La4 Mg8 Tc4'
_space_group_name_H-M_alt 'I -4 2 d'
_space_group_IT_number 122
_space_group_name_Hall 'I -4 2bw'
_cell_length_a 4.100
_cell_length_b 4.100
_cell_length_c 22.035
_cell_angle_alpha 90.00
_cell_angle_beta 90.00
_cell_angle_gamma 90.00
loop_
_atom_site_label
_atom_site_type_symbol
_atom_site_fract_x
_atom_site_fract_y
_atom_site_fract_z
La1 La 0.000 0.000 0.000
Mg1 Mg 0.217 0.250 0.625
Tc1 Tc 0.000 0.000 0.500

=====

Model R:
# PBE-GGA LaMg2Tc, relaxed
# Total magnetic moment ... 0.00 Bohr magnetons per cell
data_LaMg2Tc
_chemical_formula_sum 'La1 Mg2 Tc1'
_space_group_name_H-M_alt 'P 4 m m'
_space_group_IT_number 99
_cell_length_a 3.486
_cell_length_b 3.486
_cell_length_c 7.621
_cell_angle_alpha 90.00
_cell_angle_beta 90.00
_cell_angle_gamma 90.00
loop_
_space_group_symop_operation_xyz
'x,y,z'
'-y,x,z'
'-x,-y,z'
'y,-x,z'
'-x,y,z'
'y,x,z'
'x,-y,z'
'-y,-x,z'
loop_
_atom_site_label
_atom_site_type_symbol
_atom_site_fract_x
_atom_site_fract_y
_atom_site_fract_z
La1 La 0.000 0.000 0.000
Mg1 Mg 0.000 0.000 0.594
Mg2 Mg 0.500 0.500 0.364
Tc1 Tc 0.500 0.500 0.769

=====

Stability ranking, top and bottom: model R is the most stable and model Q is the least stable.

=====

Model P:
# PBE-GGA La4MgTc, relaxed
# Total magnetic moment ... 0.00 Bohr magnetons per cell
data_La4MgTc
_chemical_formula_sum 'La16 Mg4 Tc4'
_space_group_name_H-M_alt 'C 1 2/c 1'
_space_group_IT_number 15
_cell_length_a 9.570
_cell_length_b 15.088
_cell_length_c 6.823
_cell_angle_alpha 90.00
_cell_angle_beta 119.88
_cell_angle_gamma 90.00
loop_
_space_group_symop_operation_xyz
'x,y,z'
'-x,-y,-z'
'-x,y,-z+1/2'
'x,-y,z+1/2'
'x+1/2,y+1/2,z'
'-x+1/2,-y+1/2,-z'
'-x+1/2,y+1/2,-z+1/2'
'x+1/2,-y+1/2,z+1/2'
loop_
_atom_site_label
_atom_site_type_symbol
_atom_site_fract_x
_atom_site_fract_y
_atom_site_fract_z
La1 La 0.151 0.212 0.154
La2 La 0.211 0.053 0.706
Mg1 Mg 0.000 0.393 0.750
Tc1 Tc 0.000 0.092 0.250

=====

Model Q:
# PBE-GGA La4MgTc, relaxed
# Total magnetic moment ... 0.00 Bohr magnetons per cell
data_La4MgTc
_chemical_formula_sum 'La16 Mg4 Tc4'
_space_group_name_H-M_alt 'C 1 2/c 1'
_space_group_IT_number 15
_cell_length_a 9.469
_cell_length_b 13.356
_cell_length_c 6.372
_cell_angle_alpha 90.00
_cell_angle_beta 108.72
_cell_angle_gamma 90.00
loop_
_space_group_symop_operation_xyz
'x,y,z'
'-x,-y,-z'
'-x,y,-z+1/2'
'x,-y,z+1/2'
'x+1/2,y+1/2,z'
'-x+1/2,-y+1/2,-z'
'-x+1/2,y+1/2,-z+1/2'
'x+1/2,-y+1/2,z+1/2'
loop_
_atom_site_label
_atom_site_type_symbol
_atom_site_fract_x
_atom_site_fract_y
_atom_site_fract_z
La1 La 0.108 0.161 0.055
La2 La 0.216 0.413 0.369
Mg1 Mg 0.000 0.379 0.750
Tc1 Tc 0.000 0.001 0.750

=====

Model R:
# PBE-GGA La4MgTc, relaxed
# Total magnetic moment ... 7.42 Bohr magnetons per cell
data_La4MgTc
_chemical_formula_sum 'La16 Mg4 Tc4'
_space_group_name_H-M_alt 'F -4 3 m'
_space_group_IT_number 216
_space_group_name_Hall 'F -4 2 3'
_cell_length_a 9.035
_cell_length_b 9.035
_cell_length_c 9.035
_cell_angle_alpha 90.00
_cell_angle_beta 90.00
_cell_angle_gamma 90.00
loop_
_atom_site_label
_atom_site_type_symbol
_atom_site_fract_x
_atom_site_fract_y
_atom_site_fract_z
La1 La 0.123 0.123 0.377
Mg1 Mg 0.000 0.000 0.000
Tc1 Tc 0.250 0.250 0.750

=====

Stability ranking, top and bottom: model Q is the most stable and model R is the least stable.

=====

Model P:
# PBE-GGA La2MgTe, relaxed
# Total magnetic moment ... 0.00 Bohr magnetons per cell
data_La2MgTe
_chemical_formula_sum 'La4 Mg2 Te2'
_space_group_name_H-M_alt 'I m m 2'
_space_group_IT_number 44
_cell_length_a 4.091
_cell_length_b 5.290
_cell_length_c 11.323
_cell_angle_alpha 90.00
_cell_angle_beta 90.00
_cell_angle_gamma 90.00
loop_
_space_group_symop_operation_xyz
'x,y,z'
'-x,-y,z'
'-x,y,z'
'x,-y,z'
'x+1/2,y+1/2,z+1/2'
'-x+1/2,-y+1/2,z+1/2'
'-x+1/2,y+1/2,z+1/2'
'x+1/2,-y+1/2,z+1/2'
loop_
_atom_site_label
_atom_site_type_symbol
_atom_site_fract_x
_atom_site_fract_y
_atom_site_fract_z
La1 La 0.000 0.000 0.000
La2 La 0.000 0.500 0.233
Mg1 Mg 0.000 0.000 0.457
Te1 Te 0.000 0.500 0.743

=====

Model Q:
# PBE-GGA La2MgTe, relaxed
# Total magnetic moment ... 0.00 Bohr magnetons per cell
data_La2MgTe
_chemical_formula_sum 'La4 Mg2 Te2'
_space_group_name_H-M_alt 'C m m m'
_space_group_IT_number 65
_space_group_name_Hall '-C 2 2'
_cell_length_a 6.981
_cell_length_b 8.819
_cell_length_c 3.939
_cell_angle_alpha 90.00
_cell_angle_beta 90.00
_cell_angle_gamma 90.00
loop_
_atom_site_label
_atom_site_type_symbol
_atom_site_fract_x
_atom_site_fract_y
_atom_site_fract_z
La1 La 0.250 0.250 0.000
Mg1 Mg 0.000 0.000 0.500
Te1 Te 0.000 0.500 0.500

=====

Stability ranking, top and bottom: model Q is the most stable and model P is the least stable.